Entry 1:
Material: Cs2MnNbCl6
Method: DFT, PBE-GGA
State: optimized geometry

a = 7.3255 Å, b = 7.3255 Å, c = 7.3281 Å
α = 60.01°, β = 60.01°, γ = 90.00°
Last column: nearest neighbours and their distance in Å.
Fractional coordinates of all 10 atoms:
Cs 0.7500 0.2500 0.5000  12 Cl 3.66
Cs 0.2500 0.7500 0.5000  12 Cl 3.66
Nb 0.0000 0.0000 0.0000  6 Cl 2.62
Mn 0.5000 0.5000 0.0000  6 Cl 2.56
Cl 0.2529 0.2529 0.4941  1 Mn 2.56, 1 Nb 2.62
Cl 0.7471 0.7471 0.5059  1 Mn 2.56, 1 Nb 2.62
Cl 0.2531 0.2531 0.0000  1 Mn 2.56, 1 Nb 2.62
Cl 0.7469 0.7469 0.0000  1 Mn 2.56, 1 Nb 2.62
Cl 0.7469 0.2531 0.0000  1 Mn 2.56, 1 Nb 2.62
Cl 0.2531 0.7469 0.0000  1 Mn 2.56, 1 Nb 2.62

Values from the calculation:
Calculated density in g/cm3: 3.74
Formation energy from raw total energies in kJ/mol of formula units: -1297
Crystal system: cubic
Electronic total energy in eV per cell: -45.47
Symmetry: Fm-3m (225)
M_tot in μB per atom: 0.795

---

Entry 2:
Material: PmSI
Method: DFT, PBE-GGA
State: optimized geometry

a = 3.7753 Å, b = 3.7753 Å, c = 6.5918 Å
α = 106.64°, β = 106.64°, γ = 90.00°
Last column: nearest neighbours and their distance in Å.
Fractional coordinates of all 3 atoms:
I 0.3213 0.3213 0.6427  1 S 3.33, 4 Pm 3.50
S 0.0454 0.0454 0.0909  4 Pm 2.87
Pm 0.6332 0.6332 0.2665  4 S 2.87

Values from the calculation:
Calculated density in g/cm3: 5.88
Formation energy from raw total energies in kJ/mol of formula units: -427
Crystal system: tetragonal
Electronic total energy in eV per cell: -14.85
Symmetry: I4mm (107)
M_tot in μB per atom: 0.000
Distance to the lowest polymorph of the same formula in eV per formula unit: 0.98